# 1
VASP calculation (GGA-PBE) on a relaxed structure of Sc2Nb2Ga.

Energy relative to the lowest polymorph listed for this composition ... 1.269 eV/f.u.
Size of the total moment ... 0.02 μB per cell

Cell and atoms, written as extended XYZ:
```
5
Lattice="-1.940 1.940 6.960 1.940 -1.940 6.960 1.940 1.940 -6.960" Properties=species:S:1:pos:R:3 pbc="T T T"
Sc 1.940 0.000 3.480
Sc 0.000 1.940 3.480
Nb 0.000 0.000 1.176
Nb 0.000 0.000 12.743
Ga 0.000 0.000 6.960
```


# 2
VASP calculation (GGA-PBE) on a relaxed structure of Sc2NbGa.

Size of the total moment ... 0.04 μB per cell
Calculated total energy ... -6.49 eV per atom

Cell and atoms, written as extended XYZ:
```
4
Lattice="0.000 3.369 3.369 3.369 0.000 3.369 3.369 3.369 0.000" Properties=species:S:1:pos:R:3 pbc="T T T"
Sc 0.000 0.000 0.000
Sc 1.685 1.685 1.685
Nb 5.054 5.054 5.054
Ga 3.369 3.369 3.369
```


# 3
VASP calculation (GGA-PBE) on a relaxed structure of Sc2Nb2Ga.

Energy relative to the lowest polymorph listed for this composition ... 0.000 eV/f.u.
Size of the total moment ... 0.01 μB per cell

Cell and atoms, written as extended XYZ:
```
5
Lattice="-1.869 1.869 7.872 1.869 -1.869 7.872 1.869 1.869 -7.872" Properties=species:S:1:pos:R:3 pbc="T T T"
Sc 0.000 0.000 1.520
Sc 0.000 0.000 14.224
Nb 1.869 0.000 3.936
Nb 0.000 1.869 3.936
Ga 0.000 0.000 7.872
```


# 4
VASP calculation (GGA-PBE) on a relaxed structure of ScNbGa.

Energy relative to the lowest polymorph listed for this composition ... 2.959 eV/f.u.
Size of the total moment ... 2.82 μB per cell

Cell and atoms, written as extended XYZ:
```
3
Lattice="0.000 3.241 3.241 3.241 0.000 3.241 3.241 3.241 0.000" Properties=species:S:1:pos:R:3 pbc="T T T"
Sc 0.000 0.000 0.000
Nb 4.861 4.861 4.861
Ga 3.241 3.241 3.241
```